[1]
CsGa2P5O16: optimized geometry, PBE.

```
48
Lattice="9.3847 0.0000 0.0000 0.0000 7.5609 -0.0130 0.0000 3.9103 9.5925" Properties=species:S:1:pos:R:3 pbc="T T T"
O 2.7967 5.8738 5.0626
O 2.3979 4.3949 8.2591
O 4.7417 6.1705 9.3119
O 0.6200 4.7249 6.4251
O 0.0787 5.2138 8.8514
O 6.5929 8.0684 5.4827
O 7.3458 5.6785 5.0833
O 5.1038 6.0802 6.1496
O 5.0821 0.9393 1.8380
O 9.1924 8.0238 8.7320
O 6.5880 3.9187 0.2664
O 8.7647 2.7698 1.6289
O 4.3026 2.8944 6.6343
O 4.9776 11.2396 9.1334
O 9.3060 3.2587 4.0552
O 4.8602 6.5896 3.6828
O 2.0389 3.7233 0.2871
O 7.5215 7.2516 3.0309
O 0.1923 6.0686 3.9358
O 6.9868 2.4398 3.4629
O 7.2066 6.5289 7.4547
O 2.7918 6.1133 0.6865
O 6.9868 1.0842 0.1538
O 4.4071 9.2844 4.3372
O 4.6430 4.2153 4.5157
O 1.6895 6.7109 7.5928
O 4.2809 4.1251 1.3533
O 4.5245 8.5447 8.4791
O 2.1781 4.5738 2.6585
O 7.6952 4.7558 2.7965
O 2.3979 3.0393 4.9500
O 1.8632 9.2067 7.8271
P 4.2761 5.7478 4.7844
P 8.2094 3.1975 2.9861
P 2.7830 4.7358 1.3127
P 8.0783 6.0108 3.6764
P 1.3064 7.9660 8.4726
P 5.1086 7.7029 9.5806
P 3.9021 2.8957 5.1642
P 6.6017 6.6910 6.1089
P 1.1753 5.1526 7.7823
P 5.4826 0.9406 0.3680
Ga 3.4512 10.3251 8.3588
Ga 1.3112 4.5729 4.5952
Ga 5.9335 8.3699 3.5626
Ga 8.0735 6.5280 9.3914
Cs 1.8450 8.4332 2.5626
Cs 7.5397 10.3884 7.3588
```

Output
Crystal system: monoclinic
SG: Pc, No. 7

[2]
CsUGaP2O10: optimized geometry, PBE.

```
30
Lattice="-4.5400 4.8111 -4.4890 -6.2584 -5.7844 -1.6631 0.1374 2.9416 8.6266" Properties=species:S:1:pos:R:3 pbc="T T T"
O -2.8891 4.1915 0.6562
O -6.0287 2.2606 4.0156
O -5.7834 3.4969 0.7610
O -7.7719 -2.2232 1.8183
O -6.3668 -2.3719 -2.7055
O -5.4804 -2.5150 4.6237
O -3.2657 0.2179 5.5495
O -3.9226 2.0268 -1.0288
O -4.2942 4.3403 5.1800
O -6.0093 5.0228 2.8509
O -4.6323 -0.2923 -1.5412
O -4.8776 -1.5285 1.7135
O -4.6517 -3.0545 -0.3764
O -8.4513 -1.5048 -3.8249
O -6.7384 -0.0585 3.5033
O -2.2097 3.4731 6.2994
O -5.1806 4.4834 -2.1492
O -0.9445 1.0946 5.0338
O -7.3953 1.7504 -3.0750
O -9.7165 0.8738 -2.5593
U -6.6557 -2.3461 3.2507
U -4.0053 4.3144 -0.7762
Ga -5.9382 4.0687 4.4163
Ga -4.7228 -2.1003 -1.9418
P -6.2800 4.8289 1.3375
P -6.8490 1.0440 4.5710
P -3.8120 0.9243 -2.0966
P -4.3810 -2.8606 1.1370
Cs -7.3879 0.7024 0.3752
Cs -3.2731 1.2660 2.0993
```

Output
Crystal system: triclinic
SG: P-1, No. 2

[3]
Cs4Pa3GaO12: optimized geometry, PBE.

```
20
Lattice="7.6169 0.0000 0.0000 -2.5390 7.1813 0.0000 -2.5390 -3.5907 6.2192" Properties=species:S:1:pos:R:3 pbc="T T T"
Cs 1.2695 1.7953 3.1096
Cs -1.2695 3.5907 0.0000
Cs -1.2695 -1.7953 3.1096
Cs 3.8085 0.0000 0.0000
Pa 2.5390 3.5907 0.0000
Pa 2.5390 -1.7953 3.1096
Pa -2.5390 1.7953 3.1096
O 3.8085 2.6930 1.5548
O -1.2695 0.8977 4.6644
O -1.2695 3.5907 3.1096
O -3.8202 2.7013 4.6787
O 3.8202 -2.7013 4.6787
O 1.2578 1.7788 0.0000
O 3.8085 0.0000 3.1096
O 1.2695 -0.8977 4.6644
O 1.2578 -0.8894 1.5405
O -1.2578 0.8894 1.5405
O 1.2695 4.4883 1.5548
O 3.8202 5.4025 0.0000
Ga 0.0000 0.0000 0.0000
```

Output
Crystal system: cubic
SG: Im-3m, No. 229

[4]
CsPaGa2O6: optimized geometry, PBE.

```
10
Lattice="-2.4181 -5.4308 -0.4213 2.3871 -4.5654 2.9962 -3.8490 -2.0157 5.9224" Properties=species:S:1:pos:R:3 pbc="T T T"
O -4.0860 -5.5969 4.1117
O -1.6717 -4.3111 5.6076
O -1.6073 -4.6600 2.5548
O -2.2727 -7.3519 5.9424
O 0.2060 -6.4150 4.3855
O -2.2083 -7.7007 2.8896
Ga -2.6444 -9.1000 6.0226
Ga -1.2355 -2.9119 2.4746
Pa -1.9400 -6.0059 4.2486
Cs 0.0000 0.0000 0.0000
```

Output
Crystal system: trigonal
SG: R-3, No. 148

[5]
Cs3PaGa2O8: optimized geometry, PBE.

```
14
Lattice="6.1686 0.0000 0.0000 -3.0843 5.3422 0.0000 0.0000 0.0000 8.6132" Properties=species:S:1:pos:R:3 pbc="T T T"
O 1.5447 4.4533 3.0521
O 3.0843 3.5644 5.5611
O -1.5447 4.4533 3.0521
O 4.6290 0.8889 5.5611
O 0.0000 3.5615 0.6481
O 0.0000 1.7778 3.0521
O 3.0843 1.7807 7.9651
O 1.5396 0.8889 5.5611
Cs 3.0843 1.7807 2.2913
Cs 0.0000 0.0000 0.0000
Cs 0.0000 3.5615 6.3219
Ga 0.0000 3.5615 2.5058
Ga 3.0843 1.7807 6.1074
Pa 0.0000 0.0000 4.3066
```

Output
Crystal system: trigonal
SG: P-3m1, No. 164

[6]
Cs2PaGa2O6: optimized geometry, PBE.

```
11
Lattice="-0.1898 -3.8937 4.8260 2.5446 -5.6390 -0.4621 6.1936 -0.9047 3.5012" Properties=species:S:1:pos:R:3 pbc="T T T"
Ga 5.4807 -4.7117 4.3891
Ga 3.0676 -5.7258 3.4760
Cs 5.9326 -8.0292 5.7177
Cs 2.6157 -2.4082 2.1474
Pa 0.0000 0.0000 0.0000
O 5.4851 -2.9534 3.8110
O 5.3900 -4.9033 6.2278
O 3.1583 -5.5342 1.6373
O 3.0632 -7.4841 4.0540
O 1.7890 -4.6601 4.2854
O 6.7594 -5.7773 3.5796
```

Output
Crystal system: trigonal
SG: R-3m, No. 166

[7]
Cs2GaPdO4: optimized geometry, PBE.

```
16
Lattice="5.7299 0.0000 0.0000 2.8649 6.6316 0.0000 2.8649 0.0000 10.6014" Properties=species:S:1:pos:R:3 pbc="T T T"
Pd 2.8649 0.0000 0.0000
Pd 4.2974 3.3158 5.3007
Cs 2.8649 0.0000 6.8357
Cs 7.1623 3.3158 9.0663
Cs 7.1623 3.3158 1.5350
Cs 5.7299 0.0000 3.7656
Ga 7.1623 3.3158 5.3007
Ga 0.0000 0.0000 0.0000
O 5.8215 4.5338 4.7665
O 2.7733 2.0978 4.7665
O 4.3890 1.2180 0.5342
O 8.5032 4.5338 5.8349
O 4.2058 1.2180 10.0672
O 10.1189 5.4136 10.0672
O 4.2058 5.4136 0.5342
O 5.8215 2.0978 5.8349
```

Output
Crystal system: orthorhombic
SG: Fddd, No. 70

[8]
Cs3Pm3GaO8: optimized geometry, PBE.

```
15
Lattice="-3.2637 4.4190 -4.4890 3.8347 -5.4178 -2.5153 -7.1001 -1.9051 3.2865" Properties=species:S:1:pos:R:3 pbc="T T T"
Cs 0.0000 0.0000 0.0000
Cs 1.9173 -2.7089 -1.2577
Cs 0.2855 -0.4994 -3.5022
O -3.4503 -3.0915 -3.6195
O -1.6545 -5.5229 -1.1495
O -3.7659 -2.5510 0.2265
O -1.1516 -2.4250 -1.5500
O -5.3776 -0.4789 -2.1679
O -2.7633 -0.3529 -3.9444
O -3.0789 0.1875 -0.0984
O -4.8747 2.6190 -2.5684
Pm -3.2646 -1.4520 -1.8589
Pm -5.1819 1.2569 -0.6013
Pm -1.6327 -3.6615 0.3856
Ga -3.5501 -0.9525 1.6432
```

Output
Crystal system: monoclinic
SG: C2/m, No. 12

[9]
CsPmGaO4: optimized geometry, PBE.

```
14
Lattice="-0.2064 -3.9854 -4.5734 5.8370 0.9640 -1.1035 1.9525 -4.1211 6.7278" Properties=species:S:1:pos:R:3 pbc="T T T"
Ga 2.5926 -5.4393 0.7567
Ga 4.9905 -1.7031 0.2943
Cs 1.5274 -1.1869 -1.1626
Cs 6.0557 -5.9555 2.2135
Pm 5.1030 -4.3728 -1.4432
Pm 2.4801 -2.7697 2.4941
O 1.2171 -6.5182 0.0968
O 3.9055 -6.0742 -0.4115
O 2.2054 -3.6557 0.2666
O 5.3777 -3.4867 0.7843
O 2.8829 -5.1443 2.5499
O 3.6776 -1.0682 1.4624
O 6.3660 -0.6242 0.9541
O 4.7002 -1.9982 -1.4990
```

Output
Crystal system: monoclinic
SG: P2_1/m, No. 11

[10]
Cs2PmGaO4: optimized geometry, PBE.

```
16
Lattice="5.6991 0.0000 0.0000 2.8496 6.4971 0.0000 2.8496 0.0000 11.9787" Properties=species:S:1:pos:R:3 pbc="T T T"
O 4.4978 5.3682 0.9614
O 4.0509 1.1290 0.9614
O 8.7721 4.3775 6.9508
O 5.4757 2.1196 6.9508
O 3.0730 2.1196 5.0279
O 4.4978 1.1290 11.0173
O 9.7500 5.3682 11.0173
O 5.4757 4.3775 5.0279
Pm 7.1239 3.2486 5.9893
Pm 0.0000 0.0000 0.0000
Ga 2.8496 0.0000 0.0000
Ga 4.2743 3.2486 5.9893
Cs 5.6991 0.0000 4.3668
Cs 7.1239 3.2486 1.6225
Cs 7.1239 3.2486 10.3562
Cs 2.8496 0.0000 7.6119
```

Output
Crystal system: orthorhombic
SG: Fddd, No. 70

[11]
Cs2PmGa2O6: optimized geometry, PBE.

```
11
Lattice="6.3098 0.0000 0.0000 3.1549 5.4644 0.0000 3.1549 1.8215 6.6325" Properties=species:S:1:pos:R:3 pbc="T T T"
Pm 0.0000 0.0000 0.0000
Cs 3.1549 1.8215 2.5011
Cs 9.4646 5.4644 4.1314
Ga 6.3098 3.6429 1.4186
Ga 6.3098 3.6429 5.2139
O 7.8580 2.7491 5.1825
O 4.7615 2.7491 5.1825
O 4.7615 4.5368 1.4500
O 7.8580 4.5368 1.4500
O 6.3098 1.8552 1.4500
O 6.3098 5.4307 5.1825
```

Output
Crystal system: trigonal
SG: R-3m, No. 166

[12]
Cs4Pr3GaO8: optimized geometry, PBE.

```
16
Lattice="-1.7053 5.7682 3.8493 -7.4718 -2.7702 0.8409 5.3696 -4.4865 2.4776" Properties=species:S:1:pos:R:3 pbc="T T T"
O -2.9005 -2.7989 2.9091
O -3.9335 0.3436 4.3667
O -0.0717 -4.9800 3.5718
O -0.9071 1.3104 4.2587
O -3.7358 3.4916 3.5961
O -2.7424 0.1313 1.3536
O -1.0652 -1.6197 5.8142
O 0.1260 -1.8320 2.8011
Pr -1.0511 -3.6283 1.6592
Pr -1.9038 -0.7442 3.5839
Pr -4.5886 1.4990 2.3451
Cs 2.6848 -2.2432 1.2388
Cs 0.0000 0.0000 0.0000
Cs 1.8321 0.6409 3.1634
Cs -0.8527 2.8841 1.9247
Ga -3.7359 -1.3851 0.4205
```

Output
Crystal system: monoclinic
SG: C2/m, No. 12

[13]
CsPuGa2O6: optimized geometry, PBE.

```
20
Lattice="6.2888 -0.2646 -0.2746 1.7102 7.3937 -0.2750 1.7102 -0.5489 7.3784" Properties=species:S:1:pos:R:3 pbc="T T T"
O 3.8730 1.6008 7.0635
O 6.4969 4.7911 4.2861
O 7.7294 2.1089 5.1358
O 5.8362 4.9793 -0.2348
O 5.1243 1.3938 4.3936
O 3.3525 4.2379 5.0839
O 6.3568 2.3423 1.7448
O 7.0175 6.8670 1.7242
O 3.2124 1.7891 2.5427
O 1.9799 4.4712 1.6930
O 2.6918 -0.2869 5.1045
O 4.5850 5.1864 2.4351
Ga 1.9328 2.5931 1.4366
Ga 5.0773 1.2072 2.5072
Ga 7.7764 3.9871 5.3922
Ga 4.6320 5.3730 4.3215
Cs 6.4269 -0.0209 6.4724
Cs 3.2824 6.6011 0.3563
Pu 6.4269 4.7796 1.8467
Pu 3.2824 1.8006 4.9821
```

Output
Crystal system: monoclinic
SG: C2/c, No. 15

[14]
Cs2PuGaO4: optimized geometry, PBE.

```
16
Lattice="6.4808 0.0000 0.0000 0.0000 7.2910 0.0000 0.0000 0.0000 7.4488" Properties=species:S:1:pos:R:3 pbc="T T T"
Pu 3.2404 6.0445 0.0000
Pu 6.4808 1.2466 3.7244
O 1.7027 7.2466 3.7244
O 6.4807 2.0850 5.8087
O 3.2403 5.2058 5.3644
O 4.7783 7.2463 3.7244
O 3.2403 5.2058 2.0844
O 1.5379 0.0448 0.0000
O 6.4807 2.0850 1.6400
O 4.9432 0.0445 0.0000
Cs 6.4808 5.1829 1.8785
Cs 3.2404 2.1080 1.8463
Cs 3.2404 2.1080 5.6024
Cs 6.4808 5.1829 5.5702
Ga 6.4808 1.1504 0.0000
Ga 3.2404 6.1406 3.7244
```

Output
Crystal system: orthorhombic
SG: Pmmn, No. 59

[15]
Cs2PuGa2O6: optimized geometry, PBE.

```
11
Lattice="6.0993 0.0000 0.0000 3.0496 5.2821 0.0000 3.0496 1.7607 6.1687" Properties=species:S:1:pos:R:3 pbc="T T T"
Ga 6.0993 3.5214 4.3460
Ga 6.0993 3.5214 1.8227
O 4.5460 4.4182 1.1941
O 6.0993 5.3150 4.9746
O 7.6525 2.6246 4.9746
O 4.5460 2.6246 4.9746
O 7.6525 4.4182 1.1941
O 6.0993 1.7278 1.1941
Cs 3.0496 1.7607 2.0313
Cs 9.1489 5.2821 4.1374
Pu 0.0000 0.0000 0.0000
```

Output
Crystal system: trigonal
SG: R-3m, No. 166

[16]
Cs2PuGaO6: optimized geometry, PBE.

```
10
Lattice="5.3731 0.0000 0.0000 0.0000 6.6464 0.0000 0.0000 -3.3232 5.7560" Properties=species:S:1:pos:R:3 pbc="T T T"
O 1.3584 5.3163 0.7679
O 1.3584 3.3232 4.2201
O 4.0147 1.9931 4.9880
O 4.0147 -1.9931 4.9880
O 1.3584 1.3301 0.7679
O 4.0147 0.0000 1.5359
Pu 2.6865 0.0000 0.0000
Cs 1.1034 0.0000 3.8373
Cs 4.2697 3.3232 1.9187
Ga 0.0000 0.0000 0.0000
```

Output
Crystal system: trigonal
SG: P-3m1, No. 164

[17]
Cs2GaRhO4: optimized geometry, PBE.

```
16
Lattice="5.7170 0.0000 0.0000 2.8585 6.2758 0.0000 2.8585 0.0000 10.6599" Properties=species:S:1:pos:R:3 pbc="T T T"
O 2.7741 2.1578 4.4685
O 5.8014 4.1180 4.4685
O 4.2034 0.9801 9.7985
O 10.0891 5.2957 9.7985
O 8.4911 4.1180 6.1914
O 5.8014 2.1578 6.1914
O 4.2034 5.2957 0.8615
O 4.3721 0.9801 0.8615
Cs 2.8585 0.0000 6.8965
Cs 7.1463 3.1379 1.5666
Cs 7.1463 3.1379 9.0934
Cs 5.7170 0.0000 3.7634
Rh 2.8585 0.0000 0.0000
Rh 4.2878 3.1379 5.3300
Ga 0.0000 0.0000 0.0000
Ga 7.1463 3.1379 5.3300
```

Output
Crystal system: orthorhombic
SG: Fddd, No. 70

Number 1: spin magnetization 0.00 μB per cell, formation energy (no corrections) -49.6 kcal/mol of atoms. Number 2: spin magnetization 0.00 μB per cell, formation energy (no corrections) -57.1 kcal/mol of atoms. Number 3: spin magnetization 2.19 μB per cell, formation energy (no corrections) -56.9 kcal/mol of atoms. Number 4: spin magnetization 0.00 μB per cell, formation energy (no corrections) -53.5 kcal/mol of atoms. Number 5: spin magnetization 2.11 μB per cell, formation energy (no corrections) -45.8 kcal/mol of atoms. Number 6: spin magnetization 1.00 μB per cell, formation energy (no corrections) -51.9 kcal/mol of atoms. Number 7: spin magnetization 2.07 μB per cell, formation energy (no corrections) -26.1 kcal/mol of atoms. Number 8: spin magnetization 1.16 μB per cell, formation energy (no corrections) -51.2 kcal/mol of atoms. Number 9: spin magnetization 2.09 μB per cell, formation energy (no corrections) -47.5 kcal/mol of atoms. Number 10: spin magnetization 0.21 μB per cell, formation energy (no corrections) -43.5 kcal/mol of atoms. Number 11: spin magnetization 1.09 μB per cell, formation energy (no corrections) -43.1 kcal/mol of atoms. Number 12: spin magnetization 0.00 μB per cell, formation energy (no corrections) -49.2 kcal/mol of atoms. Number 13: spin magnetization 6.00 μB per cell, formation energy (no corrections) -47.1 kcal/mol of atoms. Number 14: spin magnetization 0.00 μB per cell, formation energy (no corrections) -45.3 kcal/mol of atoms. Number 15: spin magnetization 2.00 μB per cell, formation energy (no corrections) -45.6 kcal/mol of atoms. Number 16: spin magnetization 1.00 μB per cell, formation energy (no corrections) -45.3 kcal/mol of atoms. Number 17: spin magnetization 0.00 μB per cell, formation energy (no corrections) -27.1 kcal/mol of atoms.